1.
La2ZnSb4Ir3 after structural relaxation, computed with PBE-GGA.

ΔE_f (raw) ... -0.6299 eV per atom
Symmetry ... P-4m2, No. 115

Cell lengths 4.6489, 4.6489, 10.4809 Å; angles 90.00, 90.00, 90.00 degrees
With the nearest neighbours (Å) after each atom.
Atoms (fractional coordinates):
Ir: 0.5000 0.0000 0.8810  5 Sb 2.60-2.64
Ir: 0.0000 0.5000 0.1190  5 Sb 2.60-2.64
Ir: 0.0000 0.0000 0.5000  4 Sb 2.71
Sb: 0.5000 0.5000 0.0000  4 Ir 2.64
Sb: 0.0000 0.5000 0.3674  3 Ir 2.60-2.71, 2 Zn 2.71
Sb: 0.0000 0.0000 0.0000  4 Ir 2.64
Sb: 0.5000 0.0000 0.6326  3 Ir 2.60-2.71, 2 Zn 2.71
Zn: 0.5000 0.5000 0.5000  4 Sb 2.71
La: 0.5000 0.0000 0.2522  2 Zn 3.49, 7 Ir 3.49-3.89, 8 Sb 3.50-3.52
La: 0.0000 0.5000 0.7478  2 Zn 3.49, 7 Ir 3.49-3.89, 8 Sb 3.50-3.52

***

2.
La2ZnSb3Ir4 after structural relaxation, computed with PBE-GGA.

ΔE_f (raw) ... -0.6480 eV per atom
Symmetry ... P-4m2, No. 115

Cell lengths 4.3997, 4.3997, 11.0074 Å; angles 90.00, 90.00, 90.00 degrees
With the nearest neighbours (Å) after each atom.
Atoms (fractional coordinates):
Zn: 0.5000 0.5000 0.5000  4 Ir 2.63
La: 0.5000 0.0000 0.2601  8 Ir 3.34-3.61, 6 Sb 3.40-3.44, 2 Zn 3.44
La: 0.0000 0.5000 0.7399  8 Ir 3.34-3.61, 6 Sb 3.40-3.44, 2 Zn 3.44
Sb: 0.0000 0.0000 0.5000  4 Ir 2.63
Sb: 0.5000 0.0000 0.8638  5 Ir 2.57-2.66
Sb: 0.0000 0.5000 0.1362  5 Ir 2.57-2.66
Ir: 0.0000 0.5000 0.3696  3 Sb 2.57-2.63, 2 Zn 2.63
Ir: 0.0000 0.0000 0.0000  4 Sb 2.66
Ir: 0.5000 0.0000 0.6304  3 Sb 2.57-2.63, 2 Zn 2.63
Ir: 0.5000 0.5000 0.0000  4 Sb 2.66

***

3.
LaZrSb2Ir after structural relaxation, computed with PBE-GGA.

ΔE_f (raw) ... -0.0218 eV per atom
Symmetry ... P4/mmm, No. 123

Cell lengths 5.3392, 4.9986, 5.3392 Å; angles 90.00, 90.00, 90.00 degrees
With the nearest neighbours (Å) after each atom.
Atoms (fractional coordinates):
Sb: 0.5000 0.0000 0.0000  2 Ir 2.67
Sb: 0.0000 0.0000 0.5000  2 Ir 2.67
Ir: 0.0000 0.0000 0.0000  2 Zr 2.50, 4 Sb 2.67
Zr: 0.0000 0.5000 0.0000  2 Ir 2.50
La: 0.5000 0.5000 0.5000  8 Sb 3.66, 4 Zr 3.78

***

4.
La2ZrSb3Ir4 after structural relaxation, computed with PBE-GGA.

ΔE_f (raw) ... -0.7428 eV per atom
Symmetry ... P-4m2, No. 115

Cell lengths 4.3890, 4.3890, 11.4344 Å; angles 90.00, 90.00, 90.00 degrees
With the nearest neighbours (Å) after each atom.
Atoms (fractional coordinates):
Ir: 0.0000 0.5000 0.3620  3 Sb 2.61-2.70, 2 Zr 2.70
Ir: 0.5000 0.5000 0.0000  4 Sb 2.68
Ir: 0.0000 0.0000 0.0000  4 Sb 2.68
Ir: 0.5000 0.0000 0.6380  3 Sb 2.61-2.70, 2 Zr 2.70
La: 0.0000 0.5000 0.7614  6 Sb 3.33-3.71, 8 Ir 3.41-3.50, 2 Zr 3.71
La: 0.5000 0.0000 0.2386  6 Sb 3.33-3.71, 8 Ir 3.41-3.50, 2 Zr 3.71
Sb: 0.0000 0.0000 0.5000  4 Ir 2.70
Sb: 0.5000 0.0000 0.8660  5 Ir 2.61-2.68
Sb: 0.0000 0.5000 0.1340  5 Ir 2.61-2.68
Zr: 0.5000 0.5000 0.5000  4 Ir 2.70

***

5.
LaScIr after structural relaxation, computed with PBE-GGA.

E_form ... -1.55 eV per formula unit
Symmetry ... I4mm, No. 107
ΔE to the lowest computed polymorph ... 0.58 eV per formula unit

Cell lengths 6.9782, 6.9782, 3.3177 Å; angles 76.25, 76.25, 27.50 degrees
With the nearest neighbours (Å) after each atom.
Atoms (fractional coordinates):
La: 0.3590 0.3590 0.6410  4 Ir 3.14, 4 La 3.32, 1 Sc 3.48
Sc: 0.6236 0.6236 0.3764  4 Ir 2.73
Ir: 0.0174 0.0174 0.9826  4 Sc 2.73

***

6.
LaScIr after structural relaxation, computed with PBE-GGA.

E_form ... -2.13 eV per formula unit
Symmetry ... C2/m, No. 12
ΔE to the lowest computed polymorph ... 0.00 eV per formula unit

Cell lengths 4.5996, 4.5992, 6.8047 Å; angles 89.84, 89.84, 90.00 degrees
With the nearest neighbours (Å) after each atom.
Atoms (fractional coordinates):
Sc: 0.3133 0.8668 0.9196  4 Ir 2.76
Sc: 0.8138 0.3662 0.9196  4 Ir 2.76
La: 0.3140 0.3668 0.2894  1 Ir 2.76
La: 0.8133 0.8661 0.5498  1 Ir 2.76
Ir: 0.3152 0.3682 0.6951  4 Sc 2.76, 1 La 2.76
Ir: 0.8119 0.8647 0.1442  4 Sc 2.76, 1 La 2.76

***

7.
La3ScIr8 after structural relaxation, computed with PBE-GGA.

E_form ... -8.40 eV per formula unit
Symmetry ... R3m, No. 160

Cell lengths 5.4218, 5.4218, 9.3818 Å; angles 73.20, 73.20, 60.00 degrees
With the nearest neighbours (Å) after each atom.
Atoms (fractional coordinates):
Ir: 0.1879 0.1879 0.4362  6 Ir 2.66-2.68
Ir: 0.4362 0.4362 0.1934  6 Ir 2.66-2.75
Ir: 0.6877 0.6877 0.9369  6 Ir 2.75
Ir: 0.4362 0.9343 0.1934  6 Ir 2.66-2.75
Ir: 0.4420 0.9385 0.6809  6 Ir 2.68-2.75
Ir: 0.9385 0.9385 0.6809  6 Ir 2.68-2.75
Ir: 0.9343 0.4362 0.1934  6 Ir 2.66-2.75
Ir: 0.9385 0.4420 0.6809  6 Ir 2.68-2.75
La: 0.3753 0.3753 0.8741  12 Ir 3.18-3.23, 4 La 3.33-3.34
La: 0.9986 0.9986 0.0043  12 Ir 3.18-3.27, 1 Sc 3.31, 3 La 3.34
La: 0.5010 0.5010 0.4971  12 Ir 3.11-3.18, 3 Sc 3.30, 1 La 3.33
Sc: 0.8738 0.8738 0.3786  12 Ir 3.09-3.17, 4 La 3.30-3.31

***

8.
La4ScIr after structural relaxation, computed with PBE-GGA.

E_form ... 3.57 eV per formula unit
Symmetry ... F-43m, No. 216

Cell lengths 6.2748, 6.2748, 6.2748 Å; angles 60.00, 60.00, 60.00 degrees
With the nearest neighbours (Å) after each atom.
Atoms (fractional coordinates):
Sc: 0.7500 0.7500 0.7500  12 La 3.69, 4 Ir 3.84
Ir: 0.0000 0.0000 0.0000  12 La 3.67, 4 Sc 3.84
La: 0.3726 0.8821 0.3726  6 La 3.08-3.20
La: 0.3726 0.3726 0.3726  6 La 3.08-3.20
La: 0.3726 0.3726 0.8821  6 La 3.08-3.20
La: 0.8821 0.3726 0.3726  6 La 3.08-3.20

***

9.
LaScIr after structural relaxation, computed with PBE-GGA.

E_form ... 0.84 eV per formula unit
Symmetry ... F-43m, No. 216
ΔE to the lowest computed polymorph ... 2.97 eV per formula unit

Cell lengths 4.6799, 4.6799, 4.6799 Å; angles 60.00, 60.00, 60.00 degrees
With the nearest neighbours (Å) after each atom.
Atoms (fractional coordinates):
La: 0.7500 0.7500 0.7500  4 Ir 2.87, 4 Sc 2.87
Ir: 0.5000 0.5000 0.5000  4 La 2.87
Sc: 0.0000 0.0000 0.0000  4 La 2.87

***

10.
LaSc2Ir2 after structural relaxation, computed with PBE-GGA.

E_form ... -3.26 eV per formula unit
Symmetry ... P4/mbm, No. 127
ΔE to the lowest computed polymorph ... 0.82 eV per formula unit

Cell lengths 8.0861, 8.0861, 3.0522 Å; angles 90.00, 90.00, 90.00 degrees
With the nearest neighbours (Å) after each atom.
Atoms (fractional coordinates):
Sc: 0.8690 0.6310 0.0000  6 Ir 2.82-2.83, 3 Sc 3.00-3.05
Sc: 0.1310 0.3690 0.0000  6 Ir 2.82-2.83, 3 Sc 3.00-3.05
Sc: 0.6310 0.1310 0.0000  6 Ir 2.82-2.83, 3 Sc 3.00-3.05
Sc: 0.3690 0.8690 0.0000  6 Ir 2.82-2.83, 3 Sc 3.00-3.05
La: 0.0000 0.0000 0.0000  2 La 3.05, 4 Sc 3.17, 8 Ir 3.40
La: 0.5000 0.5000 0.0000  2 La 3.05, 4 Sc 3.17, 8 Ir 3.40
Ir: 0.3394 0.1606 0.5000  6 Sc 2.82-2.83, 2 Ir 3.05
Ir: 0.8394 0.3394 0.5000  6 Sc 2.82-2.83, 2 Ir 3.05
Ir: 0.6606 0.8394 0.5000  6 Sc 2.82-2.83, 2 Ir 3.05
Ir: 0.1606 0.6606 0.5000  6 Sc 2.82-2.83, 2 Ir 3.05

***

11.
La2ScIr9 after structural relaxation, computed with PBE-GGA.

E_form ... -5.48 eV per formula unit
Symmetry ... R-3m, No. 166

Cell lengths 5.3138, 5.3138, 9.4816 Å; angles 73.73, 73.73, 60.00 degrees
With the nearest neighbours (Å) after each atom.
Atoms (fractional coordinates):
Sc: 0.0000 0.0000 0.0000  18 Ir 3.07-3.41
Ir: 0.5000 0.5000 0.5000  6 Ir 2.80
Ir: 0.3322 0.3322 0.0034  6 Ir 2.61-2.65
Ir: 0.5781 0.0822 0.7616  7 Ir 2.61-2.80
Ir: 0.4219 0.4219 0.2384  7 Ir 2.61-2.80
Ir: 0.6678 0.6678 0.9966  6 Ir 2.61-2.65
Ir: 0.9178 0.4219 0.2384  7 Ir 2.61-2.80
Ir: 0.4219 0.9178 0.2384  7 Ir 2.61-2.80
Ir: 0.0822 0.5781 0.7616  7 Ir 2.61-2.80
Ir: 0.5781 0.5781 0.7616  7 Ir 2.61-2.80
La: 0.8611 0.8611 0.4166  12 Ir 3.10-3.46, 3 La 3.41
La: 0.1389 0.1389 0.5834  12 Ir 3.10-3.46, 3 La 3.41

***

12.
La2ScIr2 after structural relaxation, computed with PBE-GGA.

E_form ... -3.27 eV per formula unit
Symmetry ... P4/mbm, No. 127
ΔE to the lowest computed polymorph ... 0.00 eV per formula unit

Cell lengths 7.5491, 7.5491, 4.2173 Å; angles 90.00, 90.00, 90.00 degrees
With the nearest neighbours (Å) after each atom.
Atoms (fractional coordinates):
La: 0.6639 0.8361 0.5000  6 Ir 2.92-3.15
La: 0.1639 0.6639 0.5000  6 Ir 2.92-3.15
La: 0.3361 0.1639 0.5000  6 Ir 2.92-3.15
La: 0.8361 0.3361 0.5000  6 Ir 2.92-3.15
Ir: 0.6464 0.1464 0.0000  2 Sc 2.89, 6 La 2.92-3.15, 1 Ir 3.13
Ir: 0.1464 0.3536 0.0000  2 Sc 2.89, 6 La 2.92-3.15, 1 Ir 3.13
Ir: 0.8536 0.6464 0.0000  2 Sc 2.89, 6 La 2.92-3.15, 1 Ir 3.13
Ir: 0.3536 0.8536 0.0000  2 Sc 2.89, 6 La 2.92-3.15, 1 Ir 3.13
Sc: 0.5000 0.5000 0.0000  4 Ir 2.89
Sc: 0.0000 0.0000 0.0000  4 Ir 2.89

***

no.,uncorrected energy (eV/atom)
1,-6.05
2,-6.54
3,-6.14
4,-7.36
5,-7.22
6,-7.42
7,-8.37
8,-5.22
9,-6.43
10,-7.71
11,-8.45
12,-7.44